Entry 1:
VASP calculation (PBE-GGA) on an optimized crystal structure of As5Rh3.

```
data_As5Rh3
_chemical_formula_sum 'As10 Rh6'
_space_group_name_H-M_alt 'P 1'
_space_group_IT_number 1
_cell_length_a 7.427
_cell_length_b 7.428
_cell_length_c 7.427
_cell_angle_alpha 102.73
_cell_angle_beta 102.72
_cell_angle_gamma 124.01
loop_
_space_group_symop_operation_xyz
'x,y,z'
loop_
_atom_site_label
_atom_site_fract_x
_atom_site_fract_y
_atom_site_fract_z
Rh1 0.250 0.250 0.000
Rh2 0.865 0.365 0.231
Rh3 0.750 0.750 0.000
Rh4 0.364 0.135 0.500
Rh5 0.134 0.634 0.769
Rh6 0.632 0.867 0.500
As1 0.689 0.585 0.274
As2 0.085 0.189 0.274
As3 0.189 0.914 0.103
As4 0.415 0.689 0.104
As5 0.248 0.750 0.500
As6 0.915 0.811 0.726
As7 0.811 0.085 0.896
As8 0.586 0.311 0.897
As9 0.749 0.250 0.500
As10 0.311 0.415 0.726
```

The total magnetic moment is 0.0 μB/cell. Its relative energy among the computed polymorphs is 0.15 eV per formula unit. As for the space group: No. 42. For the density of states at the Fermi level, the calculation gives 8.92 states/eV/cell. As for the crystal system: orthorhombic. Its energy of formation is -0.08 eV per atom.

---

Entry 2:
VASP calculation (PBE-GGA) on an optimized crystal structure of Na2TmCu2O4.

```
data_Na2TmCu2O4
_chemical_formula_sum 'Na2 Tm1 Cu2 O4'
_space_group_name_H-M_alt 'P 1'
_space_group_IT_number 1
_cell_length_a 3.310
_cell_length_b 5.896
_cell_length_c 6.789
_cell_angle_alpha 97.38
_cell_angle_beta 104.11
_cell_angle_gamma 90.00
loop_
_space_group_symop_operation_xyz
'x,y,z'
loop_
_atom_site_label
_atom_site_fract_x
_atom_site_fract_y
_atom_site_fract_z
Cu1 0.308 0.932 0.615
Cu2 0.692 0.068 0.385
O1 0.558 0.797 0.116
O2 0.165 0.207 0.330
O3 0.835 0.793 0.670
O4 0.442 0.203 0.884
Na1 0.875 0.429 0.750
Na2 0.125 0.571 0.250
Tm1 0.000 0.000 0.000
```

The total magnetic moment is 0.0 μB/cell. The uncorrected formation energy comes out at -1.54 eV per atom. As for the space group: No. 12. For the density of states at the Fermi level, the calculation gives 4.94 states/eV/cell. As for the crystal system: monoclinic.

---

Entry 3:
VASP calculation (PBE-GGA) on an optimized crystal structure of CoSbOs2.

```
data_CoSbOs2
_chemical_formula_sum 'Co1 Sb1 Os2'
_space_group_name_H-M_alt 'P 1'
_space_group_IT_number 1
_cell_length_a 2.821
_cell_length_b 2.821
_cell_length_c 9.320
_cell_angle_alpha 90.00
_cell_angle_beta 90.00
_cell_angle_gamma 119.10
loop_
_space_group_symop_operation_xyz
'x,y,z'
loop_
_atom_site_label
_atom_site_fract_x
_atom_site_fract_y
_atom_site_fract_z
Os1 0.000 0.000 0.530
Os2 0.000 0.000 0.970
Sb1 0.500 0.500 0.250
Co1 0.500 0.500 0.750
```

The total magnetic moment is 2.7 μB/cell. The uncorrected formation energy comes out at 0.95 eV per atom. Its relative energy among the computed polymorphs is 2.03 eV per formula unit. As for the space group: No. 65. For the density of states at the Fermi level, the calculation gives 5.48 states/eV/cell. As for the crystal system: orthorhombic.

---

Entry 4:
VASP calculation (PBE-GGA) on an optimized crystal structure of Nd2LuH.

```
data_Nd2LuH
_chemical_formula_sum 'Nd2 Lu1 H1'
_space_group_name_H-M_alt 'P 1'
_space_group_IT_number 1
_cell_length_a 3.427
_cell_length_b 3.427
_cell_length_c 8.539
_cell_angle_alpha 90.00
_cell_angle_beta 90.00
_cell_angle_gamma 90.00
loop_
_space_group_symop_operation_xyz
'x,y,z'
loop_
_atom_site_label
_atom_site_fract_x
_atom_site_fract_y
_atom_site_fract_z
Nd1 0.000 0.000 0.193
Nd2 0.000 0.000 0.807
H1 0.500 0.500 0.000
Lu1 0.500 0.500 0.500
```

The total magnetic moment is 0.0 μB/cell. The value obtained for the total energy is -4.26 eV/atom. As for the space group: No. 123. For the density of states at the Fermi level, the calculation gives 4.02 states/eV/cell. As for the crystal system: tetragonal.

---

- Which of these has the highest total magnetic moment?
  CoSbOs2

---

Please write out number 4 again, unchanged.
VASP calculation (PBE-GGA) on an optimized crystal structure of Nd2LuH.

```
data_Nd2LuH
_chemical_formula_sum 'Nd2 Lu1 H1'
_space_group_name_H-M_alt 'P 1'
_space_group_IT_number 1
_cell_length_a 3.427
_cell_length_b 3.427
_cell_length_c 8.539
_cell_angle_alpha 90.00
_cell_angle_beta 90.00
_cell_angle_gamma 90.00
loop_
_space_group_symop_operation_xyz
'x,y,z'
loop_
_atom_site_label
_atom_site_fract_x
_atom_site_fract_y
_atom_site_fract_z
Nd1 0.000 0.000 0.193
Nd2 0.000 0.000 0.807
H1 0.500 0.500 0.000
Lu1 0.500 0.500 0.500
```

The total magnetic moment is 0.0 μB/cell. The value obtained for the total energy is -4.26 eV/atom. As for the space group: No. 123. For the density of states at the Fermi level, the calculation gives 4.02 states/eV/cell. As for the crystal system: tetragonal.

---

- Which value of total magnetic moment does entry 1 give?
  0.0 μB/cell